# 1
Material: CdPtRhAu
Method: DFT, GGA-PBE
State: optimized geometry

Cell and atoms, written as POSCAR:
```
CdPtRhAu
1.0
0.000 3.236 3.236
3.236 0.000 3.236
3.236 3.236 0.000
Cd Pt Rh Au
1 1 1 1
Cartesian
0.000 0.000 0.000
1.618 1.618 1.618
4.853 4.853 4.853
3.236 3.236 3.236
```

Results
**Calculated density**: 14.9 Mg/m³
**Volume**: 16.9 Å³ per atom
**E_form**: 0.010 eV per atom
**Crystal system**: cubic
**Relative energy among the computed polymorphs**: 0 meV per atom

---

# 2
Material: SmYAgRh
Method: DFT, GGA-PBE
State: optimized geometry

Cell and atoms, written as POSCAR:
```
SmYAgRh
1.0
3.559 0.000 0.000
0.000 3.559 0.000
0.000 0.000 7.219
Sm Y Ag Rh
1 1 1 1
Cartesian
0.000 0.000 0.000
0.000 0.000 3.895
1.779 1.779 2.019
1.779 1.779 5.530
```

Results
**Calculated density**: 8.2 Mg/m³
**Volume**: 22.9 Å³ per atom
**E_form**: -0.545 eV per atom
**Crystal system**: tetragonal
**Relative energy among the computed polymorphs**: 0 meV per atom

---

# 3
Material: Zr2AgHIr
Method: DFT, GGA-PBE
State: optimized geometry

Cell and atoms, written as POSCAR:
```
Zr2AgHIr
1.0
4.504 0.000 0.000
0.000 4.504 0.000
0.000 0.000 3.853
Zr Ag H Ir
2 1 1 1
Cartesian
0.000 2.252 0.000
2.252 0.000 0.000
0.000 0.000 1.927
2.252 2.252 0.000
2.252 2.252 1.927
```

Results
**Calculated density**: 10.3 Mg/m³
**Volume**: 15.6 Å³ per atom
**Crystal system**: tetragonal
**Relative energy among the computed polymorphs**: 0 meV per atom